Density functional theory data (GGA+U) for a relaxed Be3VF crystal.

Cell: 4.603 4.603 4.603 Å, 90.00 90.00 90.00°
Fractional coordinates of all 5 atoms:
1 Be 0.000 0.000 0.500
2 Be 0.000 0.500 0.000
3 Be 0.500 0.000 0.000
4 V 0.000 0.000 0.000
5 F 0.500 0.500 0.500

Output
* polymorph energy (0 for the lowest one): 1384 meV per atom
* space group: No. 221
* total magnetic moment: 5.39 Bohr magnetons per cell